# 1
4
Lattice="5.390 0.000 0.000 2.695 4.668 0.000 2.695 1.556 4.401" Properties=species:S:1:pos:R:3 comment="Tb2HgBi, relaxed, DFT PBE" vol_a3_per_cell=111 final_energy_ev_per_atom=-3.87 ef_ev_per_atom=-0.51 total_magnetization_mub_per_fu=0.0 relative_energy_ev_per_atom=0.105 pbc="T T T"
Bi 5.390 3.112 2.200
Hg 0.000 0.000 0.000
Tb 2.695 1.556 1.100
Tb 8.085 4.668 3.301

***

# 2
10
Lattice="6.488 0.000 0.000 0.000 6.488 0.000 0.000 0.000 4.792" Properties=species:S:1:pos:R:3 comment="Na2IrPt2, relaxed, DFT PBE" vol_a3_per_cell=202 final_energy_ev_per_atom=-4.65 ef_ev_per_atom=0.07 total_magnetization_mub_per_fu=0.0 pbc="T T T"
Na 5.347 2.103 2.396
Na 1.141 4.385 2.396
Ir 3.244 3.244 0.000
Pt 5.594 4.139 0.000
Ir 0.000 0.000 0.000
Na 4.385 5.347 2.396
Pt 2.350 5.594 0.000
Na 2.103 1.141 2.396
Pt 0.894 2.350 0.000
Pt 4.139 0.894 0.000

***

# 3
15
Lattice="-6.205 3.644 -5.738 -7.164 -5.036 -2.832 -8.208 1.787 2.630" Properties=species:S:1:pos:R:3 comment="PmNd8Y6, relaxed, DFT PBE" vol_a3_per_cell=515 final_energy_ev_per_atom=-5.33 ef_ev_per_atom=0.11 total_magnetization_mub_per_fu=0.0 pbc="T T T"
Y -4.986 1.682 -3.049
Pm 0.000 0.000 0.000
Nd -11.658 0.719 -1.698
Y -16.590 -1.288 -2.891
Nd -8.341 0.513 -0.705
Nd -12.049 3.016 -4.267
Nd -12.879 -2.395 -2.615
Y -15.220 1.984 -3.296
Nd -8.698 2.789 -3.325
Y -18.233 1.089 -4.989
Nd -9.527 -2.621 -1.673
Y -6.356 -1.590 -2.644
Y -3.343 -0.694 -0.951
Nd -13.235 -0.119 -5.235
Nd -9.918 -0.325 -4.242

***

# 4
4
Lattice="-2.567 0.129 1.251 1.046 -1.362 2.286 1.942 6.970 3.263" Properties=species:S:1:pos:R:3 comment="ZnAsRu2, relaxed, DFT PBE" vol_a3_per_cell=65 final_energy_ev_per_atom=-6.06 ef_ev_per_atom=0.06 total_magnetization_mub_per_fu=0.0 relative_energy_ev_per_atom=0.158 pbc="T T T"
Ru -0.305 1.019 2.534
Ru 0.023 0.083 0.039
As 0.805 5.005 4.400
Zn 0.868 3.116 1.459

***

# 5
12
Lattice="3.503 0.000 0.000 0.000 4.619 0.000 0.000 0.000 14.687" Properties=species:S:1:pos:R:3 comment="Pu2PaRu3, relaxed, DFT PBE" vol_a3_per_cell=238 final_energy_ev_per_atom=-11.24 ef_ev_per_atom=-0.24 total_magnetization_mub_per_fu=9.7 relative_energy_ev_per_atom=0.000 pbc="T T T"
Ru 1.774 0.000 7.344
Pu 0.032 0.000 9.955
Pa 0.019 2.310 7.344
Ru 1.738 0.000 12.582
Pu 3.471 2.310 12.075
Ru 1.730 2.310 0.000
Pa 3.484 0.000 0.000
Ru 1.738 0.000 2.105
Ru 1.766 2.310 9.448
Ru 1.766 2.310 5.239
Pu 3.471 2.310 2.612
Pu 0.032 0.000 4.732

***

# 6
5
Lattice="4.004 0.000 0.000 0.000 4.004 0.000 0.000 0.000 5.701" Properties=species:S:1:pos:R:3 comment="TaSeBrN2, relaxed, DFT PBE" raw_formation_energy_ev_per_atom=0.327 vol_a3_per_cell=91 final_energy_ev_per_atom=-6.40 total_magnetization_mub_per_fu=0.8 relative_energy_ev_per_atom=0.000 pbc="T T T"
N 0.000 2.002 0.000
N 2.002 0.000 0.000
Ta 0.000 0.000 0.000
Se 0.000 0.000 2.851
Br 2.002 2.002 2.851

***

# 7
7
Lattice="5.881 0.000 0.000 -1.960 5.545 0.000 -1.960 -2.773 4.802" Properties=species:S:1:pos:R:3 comment="ErOs6, relaxed, DFT PBE" vol_a3_per_cell=157 final_energy_ev_per_atom=-9.44 ef_ev_per_atom=0.83 total_magnetization_mub_per_fu=0.0 pbc="T T T"
Os -0.980 2.773 2.401
Os 0.980 3.466 1.201
Os 2.941 0.000 2.401
Os -0.980 0.693 3.602
Er 0.000 0.000 0.000
Os 0.980 -0.693 3.602
Os 2.941 2.079 1.201